No. 1
Here is an optimized crystal structure of PrGd2Te from the Alexandria database. Energies are from GGA-PBE.

a = 3.8851 Å, b = 3.8851 Å, c = 11.0529 Å
α = 79.88°, β = 79.88°, γ = 60.00°
Closest atoms and distances in Å follow each position.
Fractional positions:
Pr  0.0000  0.0000  0.0000  2 Gd 3.33
Gd  0.1026  0.1026  0.6923  3 Te 3.06, 1 Pr 3.33
Gd  0.8974  0.8974  0.3077  3 Te 3.06, 1 Pr 3.33
Te  0.5000  0.5000  0.5000  6 Gd 3.06

## Properties
Energy above the lowest structure with this stoichiometry in meV per atom: 265
Density of states at the Fermi level in states/eV per atom: 1.984
E_form (uncorrected) in eV/atom: -0.34

***

No. 2
Here is an optimized crystal structure of KTlSn from the Alexandria database. Energies are from GGA-PBE.

a = 6.1981 Å, b = 6.1981 Å, c = 11.1391 Å
α = 90.00°, β = 90.00°, γ = 120.00°
Closest atoms and distances in Å follow each position.
Fractional positions:
K  0.3333  0.6667  0.2500  3 Tl 3.58
K  0.6667  0.3333  0.7500  3 Tl 3.58
Tl  0.0000  0.0000  0.2500  2 Sn 2.78
Tl  0.0000  0.0000  0.7500  2 Sn 2.78
Sn  0.0000  0.0000  0.0000  2 Tl 2.78
Sn  0.0000  0.0000  0.5000  2 Tl 2.78

## Properties
Energy of formation from the pure elements in eV per atom: 0.3478
Density of states at the Fermi level in states/eV per atom: 0.497

***

No. 3
Here is an optimized crystal structure of NiPI3 from the Alexandria database. Energies are from GGA-PBE.

a = 5.4929 Å, b = 5.4929 Å, c = 5.4929 Å
α = 90.00°, β = 90.00°, γ = 90.00°
Closest atoms and distances in Å follow each position.
Fractional positions:
I  0.0000  0.5000  0.0000  2 P 2.75
I  0.0000  0.0000  0.5000  2 P 2.75
I  0.5000  0.0000  0.0000  2 P 2.75
Ni  0.5000  0.5000  0.5000  12 I 3.88
P  0.0000  0.0000  0.0000  6 I 2.75

## Properties
Energy above the lowest structure with this stoichiometry in meV per atom: 135
Density of states at the Fermi level in states/eV per atom: 2.242
E_form (uncorrected) in eV/atom: 0.82

***

It is found that the V values, taken in the order of the records, are 141.5; 370.6; 165.7 Å³ per cell.
It is found that the total magnetic moment values, taken in the order of the records, are 16.09; 0.00; 1.06 μB per formula unit.